No. 1
This record from Alexandria via LeMat-Bulk describes a relaxed SrLiPt2 crystal. The functional is PBE-GGA. Values from VASP.

Structure (Quantum ESPRESSO input):
```
&SYSTEM
  ibrav = 0, nat = 12, ntyp = 3
/
ATOMIC_SPECIES
Sr 87.62 Sr.upf
Li 6.94 Li.upf
Pt 195.08 Pt.upf
CELL_PARAMETERS angstrom
4.497 0.000 0.000
-2.248 3.894 0.000
0.000 0.000 15.642
ATOMIC_POSITIONS angstrom
Sr 0.000 0.000 0.000
Sr 0.000 2.596 10.428
Sr 2.248 1.298 5.214
Li 0.000 0.000 7.821
Li 0.000 2.596 2.607
Li 2.248 1.298 13.035
Pt 0.000 0.000 2.959
Pt 0.000 0.000 12.684
Pt 0.000 2.596 7.469
Pt 0.000 2.596 13.387
Pt 2.248 1.298 2.255
Pt 2.248 1.298 8.173
```

offset from the most stable computed form = 0.00 eV per formula unit
energy relative to the elements = -0.587 eV per atom
electronic total energy = -4.5066 eV/atom
DOS at the Fermi energy = 2.23 states/eV/f.u.
V = 273.9 Å³ per cell

***

No. 2
This record from Alexandria via LeMat-Bulk describes a relaxed Sr2LiPt2 crystal. The functional is PBE-GGA. Values from VASP.

Structure (Quantum ESPRESSO input):
```
&SYSTEM
  ibrav = 0, nat = 10, ntyp = 3
/
ATOMIC_SPECIES
Sr 87.62 Sr.upf
Li 6.94 Li.upf
Pt 195.08 Pt.upf
CELL_PARAMETERS angstrom
7.719 0.000 0.000
0.000 7.719 0.000
0.000 0.000 4.317
ATOMIC_POSITIONS angstrom
Sr 1.318 2.542 0.000
Sr 2.542 6.401 0.000
Sr 5.178 1.318 0.000
Sr 6.401 5.178 0.000
Li 0.000 0.000 2.159
Li 3.860 3.860 2.159
Pt 0.972 4.831 2.159
Pt 2.888 0.972 2.159
Pt 4.831 6.748 2.159
Pt 6.748 2.888 2.159
```

offset from the most stable computed form = 0.59 eV per formula unit
energy relative to the elements = -0.629 eV per atom
electronic total energy = -4.1009 eV/atom
DOS at the Fermi energy = 2.12 states/eV/f.u.
V = 257.3 Å³ per cell

***

No. 3
This record from Alexandria via LeMat-Bulk describes a relaxed Sr2LiPt2 crystal. The functional is PBE-GGA. Values from VASP.

Structure (Quantum ESPRESSO input):
```
&SYSTEM
  ibrav = 0, nat = 10, ntyp = 3
/
ATOMIC_SPECIES
Sr 87.62 Sr.upf
Li 6.94 Li.upf
Pt 195.08 Pt.upf
CELL_PARAMETERS angstrom
5.086 -2.954 0.000
5.086 2.954 0.000
-1.827 0.000 8.013
ATOMIC_POSITIONS angstrom
Sr 1.259 0.811 1.212
Sr 0.346 -0.811 5.218
Sr 7.999 0.811 2.795
Sr 7.086 -0.811 6.801
Li 4.629 0.609 2.003
Li 3.716 -0.609 6.010
Pt 2.853 0.791 3.973
Pt 6.405 0.791 0.033
Pt 1.939 -0.791 7.979
Pt 5.492 -0.791 4.040
```

offset from the most stable computed form = 0.07 eV per formula unit
energy relative to the elements = -0.733 eV per atom
electronic total energy = -4.2046 eV/atom
DOS at the Fermi energy = 1.86 states/eV/f.u.
V = 240.7 Å³ per cell

***

No. 4
This record from Alexandria via LeMat-Bulk describes a relaxed Sr3Li7Pt4 crystal. The functional is PBE-GGA. Values from VASP.

Structure (Quantum ESPRESSO input):
```
&SYSTEM
  ibrav = 0, nat = 14, ntyp = 3
/
ATOMIC_SPECIES
Sr 87.62 Sr.upf
Li 6.94 Li.upf
Pt 195.08 Pt.upf
CELL_PARAMETERS angstrom
8.229 -2.173 0.000
8.229 2.173 0.000
-6.064 0.000 8.070
ATOMIC_POSITIONS angstrom
Sr 0.000 0.000 0.000
Sr 3.235 0.000 2.294
Sr 7.160 0.000 5.776
Li -3.032 0.000 4.035
Li 0.174 0.000 3.407
Li -0.725 0.000 7.963
Li 3.734 0.000 5.806
Li 6.661 0.000 2.265
Li 11.120 0.000 0.107
Li 10.221 0.000 4.663
Pt -3.175 0.000 6.647
Pt 1.136 0.000 5.929
Pt 9.259 0.000 2.142
Pt 13.570 0.000 1.423
```

energy relative to the elements = -0.511 eV per atom
electronic total energy = -3.5547 eV/atom
DOS at the Fermi energy = 4.20 states/eV/f.u.
V = 288.7 Å³ per cell

***

No. 5
This record from Alexandria via LeMat-Bulk describes a relaxed SrLi2Pt crystal. The functional is PBE-GGA. Values from VASP.

Structure (Quantum ESPRESSO input):
```
&SYSTEM
  ibrav = 0, nat = 12, ntyp = 3
/
ATOMIC_SPECIES
Sr 87.62 Sr.upf
Li 6.94 Li.upf
Pt 195.08 Pt.upf
CELL_PARAMETERS angstrom
4.418 0.000 0.000
-2.209 3.826 0.000
0.000 0.000 15.529
ATOMIC_POSITIONS angstrom
Sr 0.000 0.000 0.000
Sr 0.000 2.551 10.353
Sr 2.209 1.275 5.176
Li 0.000 0.000 3.101
Li 0.000 0.000 12.428
Li 0.000 2.551 7.252
Li 0.000 2.551 13.454
Li 2.209 1.275 2.075
Li 2.209 1.275 8.278
Pt 0.000 0.000 7.765
Pt 0.000 2.551 2.588
Pt 2.209 1.275 12.941
```

offset from the most stable computed form = 0.30 eV per formula unit
energy relative to the elements = -0.401 eV per atom
electronic total energy = -3.2881 eV/atom
DOS at the Fermi energy = 1.75 states/eV/f.u.
V = 262.5 Å³ per cell

***

No. 6
This record from Alexandria via LeMat-Bulk describes a relaxed Sr3Li4Pt2 crystal. The functional is PBE-GGA. Values from VASP.

Structure (Quantum ESPRESSO input):
```
&SYSTEM
  ibrav = 0, nat = 9, ntyp = 3
/
ATOMIC_SPECIES
Sr 87.62 Sr.upf
Li 6.94 Li.upf
Pt 195.08 Pt.upf
CELL_PARAMETERS angstrom
6.966 -2.145 0.000
6.966 2.145 0.000
-2.588 0.000 8.016
ATOMIC_POSITIONS angstrom
Sr 0.000 0.000 0.000
Sr 3.630 0.000 4.772
Sr 7.714 0.000 3.243
Li 0.242 0.000 5.887
Li 1.783 0.000 7.952
Li 9.561 0.000 0.063
Li 11.102 0.000 2.129
Pt 2.502 0.000 1.796
Pt 8.842 0.000 6.220
```

energy relative to the elements = -0.419 eV per atom
electronic total energy = -3.1725 eV/atom
DOS at the Fermi energy = 4.11 states/eV/f.u.
V = 239.5 Å³ per cell

***

No. 7
This record from Alexandria via LeMat-Bulk describes a relaxed SrLi2Pt2 crystal. The functional is PBE-GGA. Values from VASP.

Structure (Quantum ESPRESSO input):
```
&SYSTEM
  ibrav = 0, nat = 10, ntyp = 3
/
ATOMIC_SPECIES
Sr 87.62 Sr.upf
Li 6.94 Li.upf
Pt 195.08 Pt.upf
CELL_PARAMETERS angstrom
4.175 0.000 0.000
0.000 4.175 0.000
0.000 0.000 11.417
ATOMIC_POSITIONS angstrom
Sr 0.000 0.000 0.000
Sr 2.088 2.088 5.709
Li 0.000 2.088 2.854
Li 0.000 2.088 8.563
Li 2.088 0.000 2.854
Li 2.088 0.000 8.563
Pt 0.000 0.000 4.391
Pt 0.000 0.000 7.026
Pt 2.088 2.088 1.318
Pt 2.088 2.088 10.100
```

offset from the most stable computed form = 0.00 eV per formula unit
energy relative to the elements = -0.582 eV per atom
electronic total energy = -4.1006 eV/atom
DOS at the Fermi energy = 0.90 states/eV/f.u.
V = 199.0 Å³ per cell

***

No. 8
This record from Alexandria via LeMat-Bulk describes a relaxed SrLi5Pt2 crystal. The functional is PBE-GGA. Values from VASP.

Structure (Quantum ESPRESSO input):
```
&SYSTEM
  ibrav = 0, nat = 16, ntyp = 3
/
ATOMIC_SPECIES
Sr 87.62 Sr.upf
Li 6.94 Li.upf
Pt 195.08 Pt.upf
CELL_PARAMETERS angstrom
4.129 0.000 0.000
0.000 7.883 0.000
0.000 0.000 9.749
ATOMIC_POSITIONS angstrom
Sr 0.000 0.000 0.000
Sr 2.065 3.941 4.875
Li 0.000 1.402 3.187
Li 0.000 1.402 6.562
Li 0.000 3.941 0.000
Li 0.000 6.481 3.187
Li 0.000 6.481 6.562
Li 2.065 0.000 4.875
Li 2.065 2.540 1.687
Li 2.065 2.540 8.062
Li 2.065 5.343 1.687
Li 2.065 5.343 8.062
Pt 0.000 3.941 2.529
Pt 0.000 3.941 7.220
Pt 2.065 0.000 2.345
Pt 2.065 0.000 7.404
```

energy relative to the elements = -0.429 eV per atom
electronic total energy = -3.3459 eV/atom
DOS at the Fermi energy = 3.78 states/eV/f.u.
V = 317.4 Å³ per cell

***

Among the records above, which one has the highest DOS at the Fermi energy? Sr3Li7Pt4

***

Number 3 is which compound? Sr2LiPt2